(1)
# YTcIr3 (SCAN, single point on PBEsol structure)
# ΔH_f (0 K) = 0.625 eV/atom
# Spin magnetization = 0.0 μB per cell
data_YTcIr3
_cell_length_a 4.6713
_cell_length_b 4.6713
_cell_length_c 4.6713
_cell_angle_alpha 90.00
_cell_angle_beta 90.00
_cell_angle_gamma 90.00
_symmetry_space_group_name_H-M 'P m -3 m'
_symmetry_Int_Tables_number 221
_symmetry_space_group_name_Hall '-P 4 2 3'
loop_
_atom_site_label
_atom_site_type_symbol
_atom_site_fract_x
_atom_site_fract_y
_atom_site_fract_z
_atom_site_occupancy
Y1 Y 0.0000 0.0000 0.0000 1
Tc1 Tc 0.5000 0.5000 0.5000 1
Ir1 Ir 0.0000 0.5000 0.5000 1

=====

(2)
# YTc2Ir (SCAN, single point on PBEsol structure)
# Energy above the lowest structure with this stoichiometry = 2.86 kcal/mol of atoms
# ΔH_f (0 K) = 0.242 eV/atom
# Spin magnetization = 0.0 μB per cell
data_YTc2Ir
_cell_length_a 5.5362
_cell_length_b 8.3543
_cell_length_c 2.7784
_cell_angle_alpha 90.00
_cell_angle_beta 90.00
_cell_angle_gamma 90.00
_symmetry_space_group_name_H-M 'C m m m'
_symmetry_Int_Tables_number 65
_symmetry_space_group_name_Hall '-C 2 2'
loop_
_atom_site_label
_atom_site_type_symbol
_atom_site_fract_x
_atom_site_fract_y
_atom_site_fract_z
_atom_site_occupancy
Y1 Y 0.0000 0.0000 0.0000 1
Tc1 Tc 0.2500 0.2500 0.5000 1
Ir1 Ir 0.0000 0.5000 0.0000 1

=====

(3)
# ZnTcIr (SCAN, single point on PBEsol structure)
# Energy above the lowest structure with this stoichiometry = 0.00 kcal/mol of atoms
# ΔH_f (0 K) = 0.005 eV/atom
# Spin magnetization = 0.0 μB per cell
data_ZnTcIr
_cell_length_a 5.7906
_cell_length_b 5.7906
_cell_length_c 5.7906
_cell_angle_alpha 90.00
_cell_angle_beta 90.00
_cell_angle_gamma 90.00
_symmetry_space_group_name_H-M 'F -4 3 m'
_symmetry_Int_Tables_number 216
_symmetry_space_group_name_Hall 'F -4 2 3'
loop_
_atom_site_label
_atom_site_type_symbol
_atom_site_fract_x
_atom_site_fract_y
_atom_site_fract_z
_atom_site_occupancy
Zn1 Zn 0.0000 0.0000 0.0000 1
Tc1 Tc 0.0000 0.0000 0.5000 1
Ir1 Ir 0.2500 0.2500 0.7500 1